DFT (PBE-GGA) results for a geometry-optimized Ta4CrP structure.

Geometry as POSCAR:
```
Ta4CrP
1.0
0.000 3.819 3.819
3.819 0.000 3.819
3.819 3.819 0.000
Ta P Cr
4 1 1
direct
0.874 0.375 0.375 Ta
0.375 0.874 0.375 Ta
0.375 0.375 0.375 Ta
0.375 0.375 0.874 Ta
0.000 0.000 0.000 P
0.750 0.750 0.750 Cr
```

Results
total DFT energy (no corrections) = -57.87 eV/cell
total magnetization = 2.1 μB per formula unit
formation enthalpy at 0 K = 0.762 eV/atom
ρ = 12.0 g/cm³
symmetry = No. 216